Arrangement i

The following is a DFT calculation (meta-GGA SCAN) of a PBEsol-optimized structure of LiP3W2O12.

a = 8.729 Å, b = 8.729 Å, c = 8.664 Å
α = 59.91°, β = 59.91°, γ = 60.13°
Fractional positions:
P 0.462 0.246 0.501
O 0.307 0.619 0.819
O 0.417 0.270 0.004
O 0.621 0.304 0.323
O 0.121 0.002 0.820
O 0.881 0.993 0.679
W 0.143 0.637 0.330
O 0.271 0.407 0.513
O 0.696 0.379 0.677
O 0.947 0.228 0.988
O 0.809 0.505 0.318
P 0.043 0.957 0.500
O 0.917 0.553 0.509
O 0.381 0.693 0.181
O 0.007 0.119 0.321
W 0.643 0.138 0.830
O 0.772 0.053 0.012
O 0.232 0.937 0.494
P 0.253 0.457 0.998
P 0.543 0.747 0.002
W 0.862 0.357 0.170
P 0.754 0.538 0.499
O 0.495 0.191 0.682
O 0.093 0.436 0.987
O 0.998 0.879 0.180
O 0.505 0.804 0.823
O 0.063 0.768 0.506
W 0.363 0.857 0.670
Li 0.548 0.956 0.245
P 0.963 0.037 0.000
O 0.593 0.729 0.487
O 0.730 0.583 0.996
Li 0.044 0.452 0.755
O 0.564 0.907 0.013
O 0.196 0.495 0.177
O 0.447 0.083 0.491

Summary:
For the density of states at the Fermi level, the calculation gives 0.255 states/eV/f.u. For the magnetization, the calculation gives 4.000 μB/f.u. The crystal system is monoclinic.


Arrangement ii

The following is a DFT calculation (meta-GGA SCAN) of a PBEsol-optimized structure of LiP3W2O12.

a = 8.935 Å, b = 9.092 Å, c = 12.305 Å
α = 90.00°, β = 90.00°, γ = 90.00°
Fractional positions:
O 0.653 0.920 0.250
O 0.347 0.080 0.750
P 0.969 0.250 0.500
O 0.372 0.293 0.881
O 0.869 0.328 0.413
O 0.567 0.102 0.879
O 0.567 0.398 0.121
O 0.060 0.139 0.434
O 0.699 0.967 0.440
P 0.969 0.250 0.000
O 0.372 0.207 0.381
O 0.131 0.672 0.913
O 0.567 0.398 0.379
O 0.940 0.639 0.066
O 0.433 0.602 0.879
P 0.401 0.130 0.631
O 0.301 0.033 0.560
O 0.301 0.467 0.060
O 0.372 0.293 0.619
P 0.599 0.630 0.869
P 0.031 0.750 0.000
O 0.628 0.793 0.881
O 0.131 0.828 0.413
O 0.869 0.172 0.587
O 0.131 0.672 0.587
W 0.753 0.976 0.599
O 0.433 0.602 0.621
P 0.599 0.870 0.131
O 0.433 0.898 0.379
O 0.301 0.033 0.940
O 0.940 0.861 0.566
O 0.869 0.172 0.913
O 0.347 0.420 0.250
O 0.628 0.707 0.381
Li 0.130 0.701 0.750
O 0.372 0.207 0.119
O 0.131 0.828 0.087
Li 0.870 0.201 0.750
W 0.247 0.024 0.401
O 0.940 0.639 0.434
W 0.753 0.524 0.099
O 0.699 0.533 0.560
O 0.301 0.467 0.440
O 0.940 0.861 0.934
W 0.247 0.024 0.099
P 0.599 0.870 0.369
O 0.060 0.361 0.566
O 0.628 0.707 0.119
P 0.031 0.750 0.500
O 0.628 0.793 0.619
O 0.211 0.486 0.750
O 0.567 0.102 0.621
W 0.753 0.524 0.401
P 0.401 0.370 0.369
W 0.753 0.976 0.901
P 0.401 0.370 0.131
O 0.789 0.986 0.750
W 0.247 0.476 0.901
O 0.060 0.361 0.934
O 0.060 0.139 0.066
Li 0.130 0.799 0.250
O 0.699 0.967 0.060
O 0.433 0.898 0.121
O 0.869 0.328 0.087
P 0.599 0.630 0.631
O 0.653 0.580 0.750
O 0.211 0.014 0.250
P 0.401 0.130 0.869
W 0.247 0.476 0.599
O 0.699 0.533 0.940
Li 0.870 0.299 0.250
O 0.789 0.514 0.250

Summary:
For the magnetization, the calculation gives 4.000 μB/f.u. The crystal system is orthorhombic.


Verdict on stability: arrangement i comes out on top.


Arrangement i

The following is a DFT calculation (meta-GGA SCAN) of a PBEsol-optimized structure of LiP4WO12.

a = 8.255 Å, b = 9.479 Å, c = 12.859 Å
α = 90.00°, β = 90.00°, γ = 90.00°
Fractional positions:
O 0.816 0.126 0.063
W 0.630 0.250 0.000
O 0.908 0.070 0.239
O 0.040 0.879 0.573
O 0.367 0.624 0.867
O 0.413 0.627 0.602
O 0.540 0.621 0.073
O 0.184 0.874 0.937
O 0.316 0.374 0.563
O 0.351 0.462 0.177
P 0.327 0.499 0.636
O 0.351 0.038 0.823
O 0.087 0.373 0.102
O 0.592 0.570 0.261
P 0.534 0.994 0.846
O 0.913 0.627 0.898
O 0.960 0.121 0.427
P 0.034 0.506 0.346
Li 0.501 0.750 0.500
O 0.592 0.930 0.739
O 0.367 0.876 0.133
O 0.540 0.879 0.927
P 0.966 0.006 0.346
P 0.466 0.006 0.154
Li 0.999 0.250 0.000
P 0.173 0.501 0.136
P 0.966 0.494 0.654
O 0.413 0.873 0.398
O 0.960 0.379 0.573
O 0.587 0.127 0.602
O 0.851 0.462 0.323
O 0.092 0.570 0.239
P 0.827 0.001 0.136
O 0.867 0.876 0.367
Li 0.499 0.250 0.500
P 0.466 0.494 0.846
O 0.649 0.538 0.823
O 0.908 0.430 0.761
O 0.087 0.127 0.898
O 0.649 0.962 0.177
O 0.149 0.962 0.323
O 0.040 0.621 0.427
O 0.460 0.121 0.073
O 0.460 0.379 0.927
P 0.827 0.499 0.864
O 0.867 0.624 0.633
P 0.034 0.994 0.654
O 0.408 0.430 0.739
O 0.133 0.124 0.633
O 0.684 0.626 0.437
O 0.092 0.930 0.761
O 0.408 0.070 0.261
O 0.149 0.538 0.677
W 0.870 0.750 0.500
P 0.327 0.001 0.364
Li 0.001 0.750 0.000
O 0.816 0.374 0.937
P 0.673 0.999 0.636
O 0.587 0.373 0.398
O 0.316 0.126 0.437
O 0.913 0.873 0.102
W 0.130 0.250 0.500
O 0.633 0.124 0.867
O 0.133 0.376 0.367
P 0.673 0.501 0.364
P 0.534 0.506 0.154
O 0.684 0.874 0.563
O 0.851 0.038 0.677
P 0.173 0.999 0.864
O 0.633 0.376 0.133
O 0.184 0.626 0.063
W 0.370 0.750 0.000

Summary:
For the density of states at the Fermi level, the calculation gives 0.000 states/eV/f.u. For the magnetization, the calculation gives 3.000 μB/f.u. The crystal system is orthorhombic.


Arrangement ii

The following is a DFT calculation (meta-GGA SCAN) of a PBEsol-optimized structure of LiP4WO12.

a = 7.778 Å, b = 9.424 Å, c = 12.918 Å
α = 90.00°, β = 90.00°, γ = 89.20°
Fractional positions:
O 0.926 0.606 0.850
O 0.159 0.618 0.656
O 0.363 0.765 0.469
Li 0.542 0.018 0.232
P 0.667 0.752 0.642
O 0.542 0.636 0.655
P 0.673 0.264 0.079
O 0.637 0.235 0.531
O 0.630 0.633 0.411
P 0.444 0.219 0.571
O 0.142 0.334 0.964
O 0.948 0.135 0.286
O 0.130 0.133 0.089
O 0.645 0.818 0.133
O 0.351 0.607 0.854
P 0.056 0.281 0.071
O 0.851 0.107 0.646
P 0.833 0.748 0.142
W 0.636 0.503 0.282
O 0.831 0.635 0.226
O 0.863 0.265 0.031
W 0.364 0.497 0.718
O 0.669 0.865 0.726
O 0.855 0.682 0.633
O 0.649 0.393 0.146
P 0.954 0.254 0.363
O 0.552 0.365 0.786
W 0.864 0.997 0.782
P 0.046 0.746 0.637
O 0.569 0.308 0.975
O 0.458 0.364 0.345
O 0.127 0.623 0.381
O 0.358 0.166 0.464
P 0.556 0.781 0.429
O 0.873 0.377 0.619
O 0.870 0.867 0.911
O 0.627 0.123 0.119
Li 0.042 0.518 0.268
O 0.069 0.808 0.525
P 0.173 0.764 0.421
P 0.333 0.248 0.358
O 0.042 0.136 0.845
P 0.944 0.719 0.929
O 0.137 0.735 0.969
P 0.827 0.236 0.579
O 0.426 0.106 0.650
O 0.958 0.864 0.155
Li 0.958 0.482 0.732
O 0.858 0.666 0.036
O 0.145 0.318 0.367
P 0.454 0.754 0.137
P 0.546 0.246 0.863
O 0.370 0.367 0.589
O 0.341 0.882 0.156
O 0.448 0.635 0.214
P 0.167 0.252 0.858
O 0.642 0.834 0.536
Li 0.458 0.982 0.768
O 0.841 0.382 0.344
O 0.052 0.865 0.714
O 0.659 0.118 0.844
W 0.136 0.003 0.218
O 0.574 0.894 0.350
O 0.931 0.192 0.475
O 0.373 0.877 0.881
O 0.169 0.365 0.774
P 0.327 0.736 0.921
O 0.149 0.893 0.354
O 0.331 0.135 0.274
O 0.431 0.692 0.025
O 0.355 0.182 0.867
O 0.074 0.394 0.150

Summary:
For the density of states at the Fermi level, the calculation gives 0.000 states/eV/f.u. For the magnetization, the calculation gives 3.000 μB/f.u. The crystal system is monoclinic.


Arrangement iii

The following is a DFT calculation (meta-GGA SCAN) of a PBEsol-optimized structure of LiP4WO12.

a = 6.805 Å, b = 7.258 Å, c = 8.729 Å
α = 90.00°, β = 90.00°, γ = 96.38°
Fractional positions:
O 0.557 0.580 0.521
P 0.570 0.378 0.481
O 0.182 0.521 0.257
P 0.072 0.069 0.836
O 0.560 0.744 0.102
O 0.912 0.832 0.487
P 0.055 0.609 0.139
P 0.430 0.622 0.981
P 0.945 0.391 0.639
O 0.706 0.961 0.288
O 0.997 0.198 0.705
Li 0.716 0.335 0.964
O 0.003 0.802 0.205
O 0.504 0.325 0.323
O 0.315 0.921 0.511
O 0.818 0.479 0.757
O 0.440 0.256 0.602
O 0.443 0.420 0.021
P 0.581 0.965 0.133
O 0.294 0.039 0.788
O 0.946 0.886 0.825
O 0.627 0.997 0.671
Li 0.284 0.665 0.464
O 0.373 0.003 0.171
O 0.054 0.114 0.325
O 0.791 0.327 0.500
O 0.088 0.168 0.987
P 0.419 0.035 0.633
O 0.124 0.498 0.580
O 0.496 0.675 0.823
W 0.737 0.744 0.680
O 0.209 0.673 0.000
O 0.685 0.079 0.011
P 0.928 0.931 0.336
O 0.876 0.502 0.080
W 0.263 0.256 0.180

Summary:
For the density of states at the Fermi level, the calculation gives 0.000 states/eV/f.u. For the magnetization, the calculation gives 3.000 μB/f.u. The crystal system is monoclinic.


Verdict on stability: arrangement i comes out on top.


Arrangement i

The following is a DFT calculation (meta-GGA SCAN) of a PBEsol-optimized structure of Li2P5WO15.

a = 5.262 Å, b = 8.814 Å, c = 13.629 Å
α = 90.00°, β = 90.00°, γ = 104.70°
Fractional positions:
O 0.858 0.576 0.925
Li 0.216 0.110 0.144
P 0.989 0.483 0.858
O 0.051 0.919 0.750
O 0.045 0.455 0.250
Li 0.784 0.890 0.856
O 0.142 0.424 0.425
O 0.384 0.120 0.659
O 0.522 0.266 0.997
O 0.751 0.052 0.943
O 0.536 0.906 0.750
O 0.522 0.266 0.503
O 0.478 0.734 0.003
O 0.249 0.948 0.057
O 0.725 0.508 0.373
O 0.751 0.052 0.557
O 0.384 0.120 0.841
P 0.011 0.517 0.142
P 0.623 0.177 0.917
P 0.989 0.483 0.642
P 0.663 0.000 0.250
O 0.616 0.880 0.159
O 0.173 0.694 0.351
O 0.827 0.306 0.851
P 0.377 0.823 0.417
Li 0.216 0.110 0.356
O 0.249 0.948 0.443
O 0.464 0.094 0.250
O 0.616 0.880 0.341
O 0.827 0.306 0.649
P 0.337 0.000 0.750
O 0.275 0.492 0.627
W 0.500 0.500 0.500
O 0.478 0.734 0.497
O 0.142 0.424 0.075
O 0.955 0.545 0.750
P 0.623 0.177 0.583
O 0.275 0.492 0.873
O 0.949 0.081 0.250
O 0.858 0.576 0.575
Li 0.784 0.890 0.644
P 0.011 0.517 0.358
W 0.500 0.500 0.000
O 0.725 0.508 0.127
O 0.173 0.694 0.149
P 0.377 0.823 0.083

Summary:
For the density of states at the Fermi level, the calculation gives 0.000 states/eV/f.u. For the magnetization, the calculation gives 3.000 μB/f.u. The crystal system is monoclinic.


Arrangement ii

The following is a DFT calculation (meta-GGA SCAN) of a PBEsol-optimized structure of Li2P5WO15.

a = 6.725 Å, b = 6.725 Å, c = 13.679 Å
α = 97.48°, β = 97.48°, γ = 111.86°
Fractional positions:
O 0.848 0.837 0.470
O 0.802 0.502 0.866
P 0.589 0.703 0.442
O 0.537 0.790 0.550
O 0.211 0.936 0.575
P 0.809 0.618 0.165
P 0.618 0.809 0.665
O 0.764 0.271 0.524
O 0.355 0.167 0.051
O 0.207 0.244 0.723
Li 0.250 0.775 0.286
P 0.954 0.336 0.473
P 0.433 0.238 0.171
O 0.856 0.866 0.695
P 0.078 0.829 0.471
O 0.202 0.946 0.875
P 0.703 0.589 0.942
O 0.866 0.856 0.195
O 0.137 0.588 0.709
O 0.502 0.802 0.366
O 0.183 0.935 0.392
O 0.244 0.207 0.223
Li 0.473 0.181 0.446
O 0.935 0.183 0.892
O 0.588 0.137 0.209
O 0.464 0.527 0.926
O 0.530 0.960 0.723
O 0.496 0.565 0.683
Li 0.181 0.473 0.946
O 0.960 0.530 0.223
O 0.790 0.537 0.050
O 0.167 0.355 0.551
O 0.946 0.202 0.375
O 0.565 0.496 0.183
P 0.829 0.078 0.971
Li 0.775 0.250 0.786
W 0.191 0.924 0.721
O 0.032 0.578 0.449
P 0.336 0.954 0.973
O 0.527 0.464 0.426
O 0.271 0.764 0.024
P 0.238 0.433 0.671
O 0.837 0.848 0.970
O 0.936 0.211 0.075
W 0.924 0.191 0.221
O 0.578 0.032 0.949

Summary:
For the density of states at the Fermi level, the calculation gives 0.000 states/eV/f.u. For the magnetization, the calculation gives 3.000 μB/f.u. The crystal system is monoclinic.


Verdict on stability: arrangement i comes out on top.